(1)
! PBE Pr6Ge2P3Br, optimized geometry; values from VASP
! Space-group type ... C2/m (12)
! Electronic total energy ... -5.933 eV/atom
! DOS(E_F) ... 3.29 states/eV/f.u.
! Formation energy (no corrections) ... -15.4 eV/f.u.
&SYSTEM
  ibrav = 0, nat = 12, ntyp = 4
/
ATOMIC_SPECIES
P 30.97 P.upf
Ge 72.64 Ge.upf
Pr 140.91 Pr.upf
Br 79.90 Br.upf
CELL_PARAMETERS angstrom
-1.284 -3.328 2.223
4.140 -5.269 -5.496
7.056 3.533 5.391
ATOMIC_POSITIONS angstrom
P 5.558 -3.787 -2.457
P 4.354 -1.278 4.576
P 1.428 -4.298 -1.636
Ge 6.428 -3.940 1.788
Ge 3.485 -1.124 0.331
Pr 3.924 -4.153 0.024
Pr 6.886 -1.232 6.107
Pr 5.988 -0.911 2.095
Pr 8.005 -3.620 -0.795
Pr 3.026 -3.832 -3.988
Pr 1.907 -1.444 2.914
Br -0.642 -1.664 1.112

(2)
! PBE Pr6GeP2Br3, optimized geometry; values from VASP
! Space-group type ... C2/m (12)
! Electronic total energy ... -5.487 eV/atom
! DOS(E_F) ... 5.30 states/eV/f.u.
! Formation energy (no corrections) ... -16.7 eV/f.u.
&SYSTEM
  ibrav = 0, nat = 12, ntyp = 4
/
ATOMIC_SPECIES
Pr 140.91 Pr.upf
P 30.97 P.upf
Br 79.90 Br.upf
Ge 72.64 Ge.upf
CELL_PARAMETERS angstrom
4.234 0.000 0.000
0.000 8.883 0.047
-2.117 -2.839 9.186
ATOMIC_POSITIONS angstrom
Pr 2.117 4.048 8.993
Pr 2.117 3.926 3.282
Pr 0.000 1.996 0.240
Pr 0.000 5.952 6.307
Pr 0.000 2.118 5.951
Pr 2.117 0.092 2.926
P 0.000 2.012 3.102
P 2.117 4.032 6.131
Br 2.117 -0.402 6.160
Br 0.000 6.446 3.073
Br 2.117 4.441 0.024
Ge 2.117 0.000 0.000

DOS(E_F) of number 2 (Pr6GeP2Br3)?
5.30 states/eV/f.u.